{
  "formula": "CsRb2ErCl6",
  "functional": "GGA-PBE",
  "state": "optimized geometry",
  "raw_formation_energy_ev_per_atom": -2.14,
  "cell": [[7.889, 0.000, 0.000], [0.000, 8.353, 0.000], [-7.782, 0.000, 11.255]],
  "species": ["Cs", "Cs", "Rb", "Rb", "Rb", "Rb", "Er", "Er", "Cl", "Cl", "Cl", "Cl", "Cl", "Cl", "Cl", "Cl", "Cl", "Cl", "Cl", "Cl"],
  "fractional_positions": [[0.000, 0.000, 0.000], [0.000, 0.500, 0.500], [0.216, 0.070, 0.744], [0.216, 0.430, 0.244], [0.784, 0.570, 0.756], [0.784, 0.930, 0.256], [0.500, 0.000, 0.500], [0.500, 0.500, 0.000], [0.176, 0.170, 0.442], [0.176, 0.330, 0.942], [0.265, 0.741, 0.417], [0.265, 0.759, 0.917], [0.422, 0.062, 0.289], [0.422, 0.438, 0.789], [0.578, 0.562, 0.211], [0.578, 0.938, 0.711], [0.735, 0.241, 0.083], [0.735, 0.259, 0.583], [0.824, 0.670, 0.058], [0.824, 0.830, 0.558]]
}


{
  "formula": "CaCoTcGe2",
  "functional": "GGA-PBE",
  "state": "optimized geometry",
  "formation_energy_mev_per_atom": -367,
  "cell": [[4.169, 0.000, 0.000], [0.000, 4.169, 0.000], [0.000, 0.000, 10.262]],
  "species": ["Ca", "Ca", "Co", "Co", "Tc", "Tc", "Ge", "Ge", "Ge", "Ge"],
  "fractional_positions": [[0.000, 0.000, 0.000], [0.500, 0.500, 0.500], [0.000, 0.500, 0.750], [0.500, 0.000, 0.250], [0.000, 0.500, 0.250], [0.500, 0.000, 0.750], [0.000, 0.000, 0.369], [0.000, 0.000, 0.631], [0.500, 0.500, 0.131], [0.500, 0.500, 0.869]]
}


{
  "formula": "CuS2Cl",
  "functional": "GGA-PBE",
  "state": "optimized geometry",
  "polymorph_energy_mev_per_atom": 369,
  "raw_formation_energy_ev_per_atom": 0.08,
  "cell": [[3.556, 0.000, 0.000], [-1.778, 3.080, 0.000], [0.000, 0.000, 21.011]],
  "species": ["Cu", "Cu", "Cu", "S", "S", "S", "S", "S", "S", "Cl", "Cl", "Cl"],
  "fractional_positions": [[0.000, 0.000, 0.000], [0.333, 0.667, 0.667], [0.667, 0.333, 0.333], [0.000, 0.000, 0.389], [0.000, 0.000, 0.611], [0.333, 0.667, 0.056], [0.333, 0.667, 0.277], [0.667, 0.333, 0.723], [0.667, 0.333, 0.944], [0.000, 0.000, 0.500], [0.333, 0.667, 0.167], [0.667, 0.333, 0.833]]
}


{
  "formula": "NaNd2TmS4",
  "functional": "GGA-PBE",
  "state": "optimized geometry",
  "raw_formation_energy_ev_per_atom": -1.89,
  "cell": [[6.923, 0.000, 0.000], [0.000, 3.985, 0.000], [-2.275, 0.000, 6.566]],
  "species": ["Na", "Nd", "Nd", "Tm", "S", "S", "S", "S"],
  "fractional_positions": [[0.000, 0.000, 0.000], [0.000, 0.500, 0.500], [0.500, 0.000, 0.500], [0.500, 0.500, 0.000], [0.255, 0.500, 0.241], [0.261, 0.000, 0.767], [0.739, 0.000, 0.233], [0.745, 0.500, 0.759]]
}


Number 1: Fermi-level density of states 0.00 states/eV per atom, total energy -3.987 eV/atom. Number 2: Fermi-level density of states 0.62 states/eV per atom, total energy -6.109 eV/atom. Number 3: Fermi-level density of states 0.71 states/eV per atom, total energy -3.467 eV/atom. Number 4: Fermi-level density of states 0.32 states/eV per atom, total energy -5.874 eV/atom.